{
  "formula": "Ba3SrAl",
  "functional": "GGA-PBE",
  "state": "optimized geometry",
  "sg": "Pm-3m (221)",
  "formation_energy_ev_per_fu": 0.63,
  "dos_ef_per_ev_atom": 2.688,
  "m_tot_mub_per_fu": 0.90,
  "e_above_lowest_polymorph_ev_per_atom": 0.000,
  "lattice_angstrom": [[-0.702, -2.424, 6.210], [-0.258, -6.230, -2.461], [6.662, -0.496, 0.559]],
  "species": ["Sr", "Ba", "Ba", "Ba", "Al"],
  "frac_coords": [[0.500, 0.500, 0.500], [0.500, 0.000, 0.000], [0.000, 0.500, 0.000], [0.000, 0.000, 0.500], [0.000, 0.000, 0.000]]
}